Entry 1:
VASP calculation (PBE) on a geometry-optimized LiAc2BiSe5 structure.

```
LiAc2BiSe5
1.0
2.172 -9.091 0.000
2.172 9.091 0.000
0.000 0.000 12.661
Li Ac Bi Se
2 4 2 10
direct
0.014 0.986 0.500 Li
0.986 0.014 0.000 Li
0.379 0.621 0.318 Ac
0.390 0.610 0.704 Ac
0.610 0.390 0.204 Ac
0.621 0.379 0.818 Ac
0.305 0.695 0.020 Bi
0.695 0.305 0.520 Bi
0.004 0.996 0.302 Se
0.136 0.864 0.016 Se
0.200 0.800 0.357 Se
0.214 0.786 0.680 Se
0.453 0.547 0.080 Se
0.547 0.453 0.580 Se
0.786 0.214 0.180 Se
0.800 0.200 0.857 Se
0.864 0.136 0.516 Se
0.996 0.004 0.802 Se
```

Computed properties:
**Crystal system**: orthorhombic
**Formation energy from raw total energies**: -1439 meV per atom



Entry 2:
VASP calculation (PBE) on a geometry-optimized LiAcBiSe3 structure.

```
LiAcBiSe3
1.0
9.117 0.000 0.000
0.000 4.110 0.000
-1.601 0.000 9.610
Li Ac Bi Se
2 2 2 6
direct
0.090 0.250 0.086 Li
0.910 0.750 0.914 Li
0.284 0.750 0.828 Ac
0.716 0.250 0.172 Ac
0.333 0.750 0.330 Bi
0.667 0.250 0.670 Bi
0.019 0.250 0.811 Se
0.362 0.250 0.599 Se
0.366 0.250 0.079 Se
0.634 0.750 0.921 Se
0.638 0.750 0.401 Se
0.981 0.750 0.189 Se
```

Computed properties:
**Crystal system**: monoclinic
**Formation energy from raw total energies**: -1098 meV per atom



Entry 3:
VASP calculation (PBE) on a geometry-optimized LiAcBiSe structure.

```
LiAcBiSe
1.0
5.088 0.000 0.000
0.000 5.088 0.000
0.000 0.000 9.048
Li Ac Bi Se
2 2 2 2
direct
0.250 0.750 0.000 Li
0.750 0.250 0.000 Li
0.250 0.250 0.313 Ac
0.750 0.750 0.687 Ac
0.250 0.250 0.850 Bi
0.750 0.750 0.150 Bi
0.250 0.750 0.500 Se
0.750 0.250 0.500 Se
```

Computed properties:
**Crystal system**: tetragonal
**Formation energy from raw total energies**: -1019 meV per atom



Entry 4:
VASP calculation (PBE) on a geometry-optimized Li2AcSm2Bi2 structure.

```
Li2AcSm2Bi2
1.0
2.487 1.436 9.511
-2.487 1.436 9.511
0.000 -2.871 9.511
Li Ac Sm Bi
2 1 2 2
direct
0.080 0.080 0.080 Li
0.920 0.920 0.920 Li
0.500 0.500 0.500 Ac
0.367 0.367 0.367 Sm
0.633 0.633 0.633 Sm
0.241 0.241 0.241 Bi
0.759 0.759 0.759 Bi
```

Computed properties:
**DFT formation energy**: -0.451 eV/atom
**Crystal system**: trigonal



Entry 5:
VASP calculation (PBE) on a geometry-optimized Li4Ac2SnBi3 structure.

```
Li4Ac2SnBi3
1.0
4.794 0.000 0.000
0.000 4.794 0.000
0.000 0.000 11.543
Li Ac Sn Bi
4 2 1 3
direct
0.000 0.000 0.000 Li
0.000 0.500 0.376 Li
0.500 0.000 0.624 Li
0.500 0.500 0.000 Li
0.000 0.500 0.737 Ac
0.500 0.000 0.263 Ac
0.500 0.500 0.500 Sn
0.000 0.000 0.500 Bi
0.000 0.500 0.143 Bi
0.500 0.000 0.857 Bi
```

Computed properties:
**DFT formation energy**: -0.694 eV/atom
**Crystal system**: tetragonal



Entry 6:
VASP calculation (PBE) on a geometry-optimized LiAcSnBi structure.

```
LiAcSnBi
1.0
0.000 3.947 3.947
3.947 0.000 3.947
3.947 3.947 0.000
Li Ac Sn Bi
1 1 1 1
direct
0.000 0.000 0.000 Li
0.500 0.500 0.500 Ac
0.250 0.250 0.250 Sn
0.750 0.750 0.750 Bi
```

Computed properties:
**DFT formation energy**: -0.419 eV/atom
**Crystal system**: cubic



Entry 7:
VASP calculation (PBE) on a geometry-optimized SrLi2AcBi2 structure.

```
SrLi2AcBi2
1.0
4.866 0.000 0.000
-2.433 4.214 0.000
0.000 0.000 8.792
Sr Li Ac Bi
1 2 1 2
direct
0.000 0.000 0.000 Sr
0.333 0.667 0.753 Li
0.667 0.333 0.247 Li
0.000 0.000 0.500 Ac
0.333 0.667 0.248 Bi
0.667 0.333 0.752 Bi
```

Computed properties:
**DFT formation energy**: -0.755 eV/atom
**Crystal system**: trigonal



Entry 8:
VASP calculation (PBE) on a geometry-optimized Li3Ac2TbBi4 structure.

```
Li3Ac2TbBi4
1.0
4.897 0.000 0.000
0.000 4.897 0.000
0.000 0.000 12.139
Li Ac Tb Bi
3 2 1 4
direct
0.000 0.000 0.000 Li
0.000 0.500 0.614 Li
0.500 0.000 0.386 Li
0.000 0.500 0.275 Ac
0.500 0.000 0.725 Ac
0.500 0.500 0.000 Tb
0.000 0.000 0.500 Bi
0.000 0.500 0.839 Bi
0.500 0.000 0.161 Bi
0.500 0.500 0.500 Bi
```

Computed properties:
**DFT formation energy**: -0.621 eV/atom
**Crystal system**: tetragonal



Entry 9:
VASP calculation (PBE) on a geometry-optimized LiAcTbBi structure.

```
LiAcTbBi
1.0
0.000 3.953 3.953
3.953 0.000 3.953
3.953 3.953 0.000
Li Ac Tb Bi
1 1 1 1
direct
0.000 0.000 0.000 Li
0.250 0.250 0.250 Ac
0.750 0.750 0.750 Tb
0.500 0.500 0.500 Bi
```

Computed properties:
**DFT formation energy**: -0.282 eV/atom
**Crystal system**: cubic



Entry 10:
VASP calculation (PBE) on a geometry-optimized LiAc2BiTe5 structure.

```
LiAc2BiTe5
1.0
2.315 -9.790 0.000
2.315 9.790 0.000
0.000 0.000 13.443
Li Ac Bi Te
2 4 2 10
direct
0.059 0.941 0.500 Li
0.941 0.059 0.000 Li
0.379 0.621 0.335 Ac
0.393 0.607 0.718 Ac
0.607 0.393 0.218 Ac
0.621 0.379 0.835 Ac
0.300 0.700 0.042 Bi
0.700 0.300 0.542 Bi
0.002 0.998 0.318 Te
0.138 0.862 0.031 Te
0.199 0.801 0.375 Te
0.219 0.781 0.701 Te
0.452 0.548 0.098 Te
0.548 0.452 0.598 Te
0.781 0.219 0.201 Te
0.801 0.199 0.875 Te
0.862 0.138 0.531 Te
0.998 0.002 0.818 Te
```

Computed properties:
**Crystal system**: orthorhombic
**Formation energy from raw total energies**: -1096 meV per atom



Entry 11:
VASP calculation (PBE) on a geometry-optimized LiAcBiTe3 structure.

```
LiAcBiTe3
1.0
9.667 0.000 0.000
0.000 4.604 0.000
-1.689 0.000 9.519
Li Ac Bi Te
2 2 2 6
direct
0.087 0.250 0.086 Li
0.913 0.750 0.914 Li
0.182 0.250 0.723 Ac
0.818 0.750 0.277 Ac
0.326 0.750 0.343 Bi
0.674 0.250 0.657 Bi
0.079 0.250 0.370 Te
0.209 0.750 0.989 Te
0.428 0.750 0.653 Te
0.572 0.250 0.347 Te
0.791 0.250 0.011 Te
0.921 0.750 0.630 Te
```

Computed properties:
**Crystal system**: monoclinic
**Formation energy from raw total energies**: -819 meV per atom



Entry 12:
VASP calculation (PBE) on a geometry-optimized LiAcTlBi structure.

```
LiAcTlBi
1.0
0.000 3.961 3.961
3.961 0.000 3.961
3.961 3.961 0.000
Li Ac Tl Bi
1 1 1 1
direct
0.000 0.000 0.000 Li
0.500 0.500 0.500 Ac
0.250 0.250 0.250 Tl
0.750 0.750 0.750 Bi
```

Computed properties:
**DFT formation energy**: -0.399 eV/atom
**Crystal system**: cubic